Entry 1:
Computed, not measured: crystalline BaMg2NbPd at its relaxed geometry at the PBE level of DFT.

Unit cell a=5.603 b=5.603 c=5.134 alpha=90.00 beta=90.00 gamma=90.00
Atoms (fractional coordinates):
1 Ba 0.000 0.000 0.000
2 Mg 0.000 0.500 0.000
3 Mg 0.500 0.000 0.000
4 Nb 0.000 0.000 0.500
5 Pd 0.500 0.500 0.500

The calculation puts the formation energy at 1938 meV per atom. The crystal system is tetragonal.


Entry 2:
Computed, not measured: crystalline Zr2IrCl at its relaxed geometry at the PBE level of DFT.

Unit cell a=3.964 b=5.313 c=7.290 alpha=90.00 beta=90.00 gamma=90.00
Atoms (fractional coordinates):
1 Zr 0.000 0.000 0.248
2 Zr 0.000 0.000 0.752
3 Zr 0.500 0.500 0.252
4 Zr 0.500 0.500 0.748
5 Ir 0.000 0.500 0.000
6 Ir 0.500 0.000 0.500
7 Cl 0.000 0.500 0.500
8 Cl 0.500 0.000 0.000

The value obtained for the total energy is -7.45 eV per atom. The crystal system is orthorhombic.